1.
Computed, not measured: crystalline RbMgIn2 at its relaxed geometry at the GGA-PBE level of DFT.

Properties
* energy relative to the elements: -0.08 eV/atom
* ρ: 4.2 g/cm³

a b c (Å): 6.4095 4.9689 8.8960
angles (deg): 90.00 108.36 90.00
Closest atoms and distances in Å follow each position.
Space group P2_1/m (No. 11)
Unique sites:
Rb 0.2158 0.2500 0.4324 x2  7 In 3.76-4.03, 2 Mg 4.12, 2 Rb 4.17
Mg 0.1680 0.2500 0.9149 x2  6 In 3.00-3.17
In 0.3189 0.7500 0.1441 x2  3 Mg 3.00-3.17, 3 In 3.08-3.14
In 0.3830 0.7500 0.8081 x2  3 In 3.08-3.14, 3 Mg 3.13-3.14

***

2.
Computed, not measured: crystalline Tc2IrRh6 at its relaxed geometry at the GGA-PBE level of DFT.

Properties
* energy relative to the elements: 0.07 eV/atom
* ρ: 12.7 g/cm³
* relative energy among the computed polymorphs: 141.1 meV per atom

a b c (Å): 12.7681 2.7056 9.1593
angles (deg): 90.00 123.56 90.00
Closest atoms and distances in Å follow each position.
Space group C2/m (No. 12)
Unique sites:
Tc 0.1588 0.0000 0.2976 x4  7 Rh 2.60-2.75, 2 Ir 2.70, 2 Tc 2.71
Ir 0.0000 0.5000 0.0000 x2  4 Rh 2.57-2.68, 4 Tc 2.70, 2 Ir 2.71
Rh 0.0437 0.5000 0.7458 x4  1 Ir 2.68, 9 Rh 2.71-2.85, 2 Tc 2.75
Rh 0.1223 0.0000 0.5503 x4  8 Rh 2.58-2.83, 3 Tc 2.60-2.70
Rh 0.2345 0.5000 0.1119 x4  1 Ir 2.57, 8 Rh 2.58-2.85, 2 Tc 2.73

***

| no. | DOS(E_F) (states/eV per atom) | raw total energy (eV for the cell shown) |
| --- | --- | --- |
| 1 | 0.25 | -16.743 |
| 2 | 1.27 | -146.055 |